[1]
## LiScMo (PBE)

Data for crystalline LiScMo at its relaxed geometry.

Cell lengths 4.9847, 5.0901, 8.3511 Å; angles 90.00, 90.00, 90.00 degrees
With the nearest neighbours (Å) after each atom.
Element x y z (fractional)
1 Li 0.0000 0.0000 0.0000  2 Li 2.55, 4 Mo 2.74
2 Li 0.0000 0.5000 0.0000  2 Li 2.55, 4 Mo 2.74
3 Li 0.5000 0.5000 0.5000  2 Li 2.55, 4 Mo 2.74
4 Li 0.5000 0.0000 0.5000  2 Li 2.55, 4 Mo 2.74
5 Sc 0.0000 0.2500 0.6197  4 Li 2.97, 4 Mo 3.04, 4 Sc 3.24-3.31
6 Sc 0.0000 0.7500 0.3803  4 Li 2.97, 4 Mo 3.04, 4 Sc 3.24-3.31
7 Sc 0.5000 0.7500 0.1197  4 Li 2.97, 4 Mo 3.04, 4 Sc 3.24-3.31
8 Sc 0.5000 0.2500 0.8803  4 Li 2.97, 4 Mo 3.04, 4 Sc 3.24-3.31
9 Mo 0.2500 0.2500 0.2500  2 Mo 2.49, 4 Li 2.74
10 Mo 0.2500 0.7500 0.7500  2 Mo 2.49, 4 Li 2.74
11 Mo 0.7500 0.7500 0.7500  2 Mo 2.49, 4 Li 2.74
12 Mo 0.7500 0.2500 0.2500  2 Mo 2.49, 4 Li 2.74

Summary:
Crystal system   orthorhombic
Fermi-level density of states   0.69 states/eV/atom
Magnetization   0.00 μB per formula unit
Space group   Imma, No. 74
Offset from the most stable computed form   206 meV/atom

[2]
## Li3ScMo (PBE)

Data for crystalline Li3ScMo at its relaxed geometry.

Cell lengths 4.7533, 4.7533, 4.7533 Å; angles 90.00, 90.00, 90.00 degrees
With the nearest neighbours (Å) after each atom.
Element x y z (fractional)
1 Sc 0.5000 0.5000 0.5000  12 Li 3.36
2 Mo 0.0000 0.0000 0.0000  6 Li 2.38
3 Li 0.0000 0.5000 0.0000  2 Mo 2.38
4 Li 0.0000 0.0000 0.5000  2 Mo 2.38
5 Li 0.5000 0.0000 0.0000  2 Mo 2.38

Summary:
Crystal system   cubic
Fermi-level density of states   1.27 states/eV/atom
Magnetization   2.03 μB per formula unit
Space group   Pm-3m, No. 221
Offset from the most stable computed form   0 meV/atom

[3]
## LiScMo (PBE)

Data for crystalline LiScMo at its relaxed geometry.

Cell lengths 3.2129, 3.2129, 11.4193 Å; angles 90.00, 90.00, 90.00 degrees
With the nearest neighbours (Å) after each atom.
Element x y z (fractional)
1 Mo 0.0000 0.5000 0.5621  4 Mo 2.68, 4 Sc 2.88
2 Mo 0.5000 0.0000 0.4379  4 Mo 2.68, 4 Sc 2.88
3 Sc 0.0000 0.5000 0.2832  5 Mo 2.88-3.19, 4 Sc 3.21
4 Sc 0.5000 0.0000 0.7168  5 Mo 2.88-3.19, 4 Sc 3.21
5 Li 0.5000 0.0000 0.0789  8 Li 2.90-3.21
6 Li 0.0000 0.5000 0.9211  8 Li 2.90-3.21

Summary:
Crystal system   tetragonal
Fermi-level density of states   0.74 states/eV/atom
Magnetization   0.00 μB per formula unit
Space group   P4/nmm, No. 129
Offset from the most stable computed form   0 meV/atom

[4]
## LiSc2Mo (PBE)

Data for crystalline LiSc2Mo at its relaxed geometry.

Cell lengths 9.7088, 9.7088, 9.7088 Å; angles 19.13, 19.13, 19.13 degrees
With the nearest neighbours (Å) after each atom.
Element x y z (fractional)
1 Li 0.2500 0.2500 0.2500  6 Li 3.23, 6 Sc 3.31
2 Mo 0.7500 0.7500 0.7500  6 Sc 2.76
3 Sc 0.0123 0.0123 0.0123  3 Mo 2.76
4 Sc 0.4877 0.4877 0.4877  3 Mo 2.76

Summary:
Crystal system   trigonal
Fermi-level density of states   1.76 states/eV/atom
Magnetization   0.05 μB per formula unit
Space group   R-3m, No. 166
Offset from the most stable computed form   136 meV/atom

[5]
## LiSc2Mo (PBE)

Data for crystalline LiSc2Mo at its relaxed geometry.

Cell lengths 5.8713, 5.8713, 5.8713 Å; angles 149.73, 130.73, 58.93 degrees
With the nearest neighbours (Å) after each atom.
Element x y z (fractional)
1 Li 0.4832 0.4832 0.0000  2 Mo 2.74, 6 Sc 2.91-2.99, 2 Li 3.07
2 Mo 0.2606 0.7606 0.5000  2 Li 2.74, 6 Sc 2.88-2.90, 2 Mo 3.07
3 Sc 0.0218 0.0218 0.0000  2 Mo 2.88, 4 Li 2.91, 2 Sc 3.07
4 Sc 0.7345 0.2345 0.5000  4 Mo 2.90, 2 Li 2.99, 2 Sc 3.07

Summary:
Crystal system   orthorhombic
Fermi-level density of states   0.91 states/eV/atom
Magnetization   0.00 μB per formula unit
Space group   Imm2, No. 44
Offset from the most stable computed form   136 meV/atom

[6]
## LiSc2Mo (PBE)

Data for crystalline LiSc2Mo at its relaxed geometry.

Cell lengths 7.4875, 7.4875, 7.6195 Å; angles 60.57, 60.57, 90.00 degrees
With the nearest neighbours (Å) after each atom.
Element x y z (fractional)
1 Sc 0.8748 0.1250 0.2500  2 Mo 2.32
2 Sc 0.8752 0.6250 0.2500  2 Mo 2.32
3 Sc 0.3750 0.1252 0.7500  2 Mo 2.32
4 Sc 0.8750 0.1248 0.7500  2 Mo 2.32
5 Mo 0.0000 0.0000 0.0000  4 Sc 2.32
6 Mo 0.7500 0.2500 0.5000  4 Sc 2.32
7 Li 0.5000 0.5000 0.0000  12 Sc 4.40-4.52, 4 Mo 4.64, 4 Li 4.64
8 Li 0.2500 0.7500 0.5000  12 Sc 4.40-4.52, 4 Mo 4.64, 4 Li 4.64

Summary:
Crystal system   tetragonal
Fermi-level density of states   0.79 states/eV/atom
Magnetization   0.00 μB per formula unit
Space group   I4_1/amd, No. 141
Offset from the most stable computed form   1163 meV/atom

no.,calculated density (g cm⁻³)
1,4.6
2,2.5
3,4.2
4,3.7
5,4.2
6,2.1